A plane-wave DFT calculation with GGA-PBE was carried out for a geometry-optimized Cu2PdRu structure.

Summary:
polymorph energy (0 for the lowest one) = 0.42 eV per formula unit
N(E_F) = 7.55 states/eV per cell
total energy = -5.4392 eV/atom
ΔH_f (0 K) = 0.90 eV/f.u.
size of the total moment = 0.532 μB per atom

Unit cell a=6.0108 b=6.0108 c=6.0108 alpha=90.00 beta=90.00 gamma=90.00
Last column: nearest neighbours and their distance in Å.
Space group Fm-3m (No. 225)
Unique sites:
Cu1 0.2500 0.2500 0.2500  4 Ru 2.60, 4 Pd 2.60
Pd1 0.0000 0.0000 0.0000  8 Cu 2.60
Ru1 0.0000 0.0000 0.5000  8 Cu 2.60

---

A plane-wave DFT calculation with GGA-PBE was carried out for a geometry-optimized CuPd2Ru structure.

Summary:
polymorph energy (0 for the lowest one) = 0.78 eV per formula unit
N(E_F) = 13.75 states/eV per cell
total energy = -5.6620 eV/atom
ΔH_f (0 K) = 1.11 eV/f.u.
size of the total moment = 0.726 μB per atom

Unit cell a=6.1825 b=6.1825 c=6.1825 alpha=90.00 beta=90.00 gamma=90.00
Last column: nearest neighbours and their distance in Å.
Space group Fm-3m (No. 225)
Unique sites:
Cu1 0.0000 0.0000 0.0000  8 Pd 2.68
Pd1 0.2500 0.2500 0.2500  4 Ru 2.68, 4 Cu 2.68
Ru1 0.0000 0.0000 0.5000  8 Pd 2.68

---

A plane-wave DFT calculation with GGA-PBE was carried out for a geometry-optimized Cu2PdRu structure.

Summary:
polymorph energy (0 for the lowest one) = 0.00 eV per formula unit
N(E_F) = 14.78 states/eV per cell
total energy = -5.5433 eV/atom
ΔH_f (0 K) = 0.49 eV/f.u.
size of the total moment = 0.097 μB per atom

Unit cell a=2.6867 b=2.6867 c=25.9537 alpha=90.00 beta=90.00 gamma=120.00
Last column: nearest neighbours and their distance in Å.
Space group R-3m (No. 166, hexagonal axes)
Unique sites:
Cu1 0.0000 0.0000 0.2493  3 Ru 2.65, 3 Pd 2.68, 6 Cu 2.69
Pd1 0.0000 0.0000 0.0000  6 Cu 2.68, 6 Pd 2.69
Ru1 0.0000 0.0000 0.5000  6 Cu 2.65, 6 Ru 2.69

---

A plane-wave DFT calculation with GGA-PBE was carried out for a geometry-optimized CuPdRu3 structure.

Summary:
polymorph energy (0 for the lowest one) = 0.00 eV per formula unit
N(E_F) = 6.16 states/eV per cell
total energy = -5.7569 eV/atom
ΔH_f (0 K) = 8.33 eV/f.u.
size of the total moment = 0.813 μB per atom

Unit cell a=4.4372 b=4.4372 c=4.4372 alpha=90.00 beta=90.00 gamma=90.00
Last column: nearest neighbours and their distance in Å.
Space group Pm-3m (No. 221)
Unique sites:
Cu1 0.0000 0.0000 0.0000  6 Ru 2.22
Pd1 0.5000 0.5000 0.5000  12 Ru 3.14
Ru1 0.0000 0.0000 0.5000  2 Cu 2.22

---

A plane-wave DFT calculation with GGA-PBE was carried out for a geometry-optimized ScCuPdRu structure.

Summary:
N(E_F) = 16.92 states/eV per cell
total energy = -6.4946 eV/atom
ΔH_f (0 K) = -1.08 eV/f.u.
size of the total moment = 0.000 μB per atom

Unit cell a=6.2425 b=6.2425 c=6.2425 alpha=90.00 beta=90.00 gamma=90.00
Last column: nearest neighbours and their distance in Å.
Space group F-43m (No. 216)
Unique sites:
Sc1 0.0000 0.0000 0.0000  4 Ru 2.70, 4 Pd 2.70
Cu1 0.0000 0.0000 0.5000  4 Ru 2.70, 4 Pd 2.70
Pd1 0.2500 0.2500 0.7500  4 Sc 2.70, 4 Cu 2.70
Ru1 0.2500 0.2500 0.2500  4 Sc 2.70, 4 Cu 2.70

---

A plane-wave DFT calculation with GGA-PBE was carried out for a geometry-optimized Sc4CuPdRu2 structure.

Summary:
N(E_F) = 13.61 states/eV per cell
total energy = -7.2727 eV/atom
ΔH_f (0 K) = -5.01 eV/f.u.
size of the total moment = 0.000 μB per atom

Unit cell a=4.5815 b=4.5815 c=22.5246 alpha=90.00 beta=90.00 gamma=120.00
Last column: nearest neighbours and their distance in Å.
Space group R-3m (No. 166, hexagonal axes)
Unique sites:
Sc1 0.0000 0.0000 0.1241  1 Cu 2.79, 4 Ru 2.80-2.85, 3 Pd 2.81
Sc2 0.0000 0.0000 0.3744  4 Ru 2.79-2.81, 3 Cu 2.80, 1 Pd 2.83
Cu1 0.0000 0.0000 0.0000  8 Sc 2.79-2.80
Pd1 0.0000 0.0000 0.5000  8 Sc 2.81-2.83
Ru1 0.0000 0.0000 0.2506  8 Sc 2.79-2.85

---

A plane-wave DFT calculation with GGA-PBE was carried out for a geometry-optimized CuSiPdRu structure.

Summary:
N(E_F) = 6.45 states/eV per cell
formation energy (no corrections) = -0.33 eV per atom
total energy = -6.3245 eV/atom
size of the total moment = 0.000 μB per atom

Unit cell a=5.9454 b=5.9454 c=5.9454 alpha=90.00 beta=90.00 gamma=90.00
Last column: nearest neighbours and their distance in Å.
Space group F-43m (No. 216)
Unique sites:
Cu1 0.0000 0.0000 0.0000  4 Ru 2.57, 4 Pd 2.57
Si1 0.0000 0.0000 0.5000  4 Ru 2.57, 4 Pd 2.57
Pd1 0.2500 0.2500 0.2500  4 Cu 2.57, 4 Si 2.57
Ru1 0.2500 0.2500 0.7500  4 Cu 2.57, 4 Si 2.57

---

A plane-wave DFT calculation with GGA-PBE was carried out for a geometry-optimized SrCuPd2Ru structure.

Summary:
N(E_F) = 4.32 states/eV per cell
total energy = -4.6887 eV/atom
ΔH_f (0 K) = 2.00 eV/f.u.
size of the total moment = 0.374 μB per atom

Unit cell a=4.7886 b=4.7886 c=4.5886 alpha=90.00 beta=90.00 gamma=90.00
Last column: nearest neighbours and their distance in Å.
Space group P4/mmm (No. 123)
Unique sites:
Sr1 0.0000 0.0000 0.0000  8 Pd 3.32, 4 Ru 3.39
Cu1 0.5000 0.5000 0.5000  2 Ru 2.29, 4 Pd 2.39
Pd1 0.0000 0.5000 0.5000  2 Cu 2.39
Ru1 0.5000 0.5000 0.0000  2 Cu 2.29

---

A plane-wave DFT calculation with GGA-PBE was carried out for a geometry-optimized CuTcPdRu2 structure.

Summary:
N(E_F) = 7.04 states/eV per cell
total energy = -6.1255 eV/atom
ΔH_f (0 K) = 7.58 eV/f.u.
size of the total moment = 0.370 μB per atom

Unit cell a=4.5680 b=4.5680 c=4.6394 alpha=90.00 beta=90.00 gamma=90.00
Last column: nearest neighbours and their distance in Å.
Space group P4/mmm (No. 123)
Unique sites:
Cu1 0.0000 0.0000 0.0000  2 Tc 2.32
Tc1 0.0000 0.0000 0.5000  4 Ru 2.28, 2 Cu 2.32
Pd1 0.5000 0.5000 0.0000  4 Cu 3.23, 8 Ru 3.26
Ru1 0.0000 0.5000 0.5000  2 Tc 2.28

---

A plane-wave DFT calculation with GGA-PBE was carried out for a geometry-optimized VCuPdRu structure.

Summary:
N(E_F) = 3.43 states/eV per cell
total energy = -7.0037 eV/atom
ΔH_f (0 K) = -0.33 eV/f.u.
size of the total moment = 0.000 μB per atom

Unit cell a=6.0185 b=6.0185 c=6.0185 alpha=90.00 beta=90.00 gamma=90.00
Last column: nearest neighbours and their distance in Å.
Space group F-43m (No. 216)
Unique sites:
V1 0.0000 0.0000 0.0000  4 Ru 2.61, 4 Pd 2.61
Cu1 0.0000 0.0000 0.5000  4 Pd 2.61, 4 Ru 2.61
Pd1 0.2500 0.2500 0.7500  4 Cu 2.61, 4 V 2.61
Ru1 0.2500 0.2500 0.2500  4 Cu 2.61, 4 V 2.61

---

A plane-wave DFT calculation with GGA-PBE was carried out for a geometry-optimized VCuPdRu2 structure.

Summary:
N(E_F) = 4.95 states/eV per cell
total energy = -6.2887 eV/atom
ΔH_f (0 K) = 5.52 eV/f.u.
size of the total moment = 0.254 μB per atom

Unit cell a=4.4011 b=4.4011 c=4.6363 alpha=90.00 beta=90.00 gamma=90.00
Last column: nearest neighbours and their distance in Å.
Space group P4/mmm (No. 123)
Unique sites:
V1 0.0000 0.0000 0.0000  4 Ru 2.20, 2 Pd 2.32
Cu1 0.5000 0.5000 0.5000  4 Pd 3.11, 8 Ru 3.20
Pd1 0.0000 0.0000 0.5000  2 V 2.32
Ru1 0.0000 0.5000 0.0000  2 V 2.20

---

A plane-wave DFT calculation with GGA-PBE was carried out for a geometry-optimized CuPdRuW structure.

Summary:
N(E_F) = 18.43 states/eV per cell
total energy = -7.7094 eV/atom
ΔH_f (0 K) = 0.68 eV/f.u.
size of the total moment = 0.000 μB per atom

Unit cell a=6.1462 b=6.1462 c=6.1462 alpha=90.00 beta=90.00 gamma=90.00
Last column: nearest neighbours and their distance in Å.
Space group F-43m (No. 216)
Unique sites:
Cu1 0.0000 0.0000 0.0000  4 Ru 2.66, 4 Pd 2.66
Pd1 0.2500 0.2500 0.7500  4 W 2.66, 4 Cu 2.66
Ru1 0.2500 0.2500 0.2500  4 W 2.66, 4 Cu 2.66
W1 0.0000 0.0000 0.5000  4 Ru 2.66, 4 Pd 2.66